Record 1
Al2Zn5Au12 | PBE | relaxed

The structure in CIF format:
```
data_Al2Zn5Au12
_chemical_formula_sum 'Al4 Zn10 Au24'
_symmetry_space_group_name_H-M 'C 1 2/m 1'
_symmetry_Int_Tables_number 12
_symmetry_space_group_name_Hall '-C 2y'
_cell_length_a 13.330
_cell_length_b 7.588
_cell_length_c 6.590
_cell_angle_alpha 90.00
_cell_angle_beta 96.55
_cell_angle_gamma 90.00
loop_
_atom_site_label
_atom_site_fract_x
_atom_site_fract_y
_atom_site_fract_z
Al1 0.000 0.213 0.000
Zn1 0.000 0.000 0.500
Zn2 0.173 0.500 0.932
Zn3 0.240 0.000 0.541
Au1 0.042 0.500 0.218
Au2 0.107 0.299 0.587
Au3 0.123 0.000 0.853
Au4 0.188 0.216 0.202
```

## Properties
Total magnetization = 0.00 μB per atom
Energy above the lowest structure with this stoichiometry = 0.000 eV/atom
Density of states at the Fermi level = 0.2332 states/eV/atom
Energy relative to the elements = -0.21 eV per atom
E = -3.0077 eV/atom

Record 2
Al2ZnAu | PBE | relaxed

The structure in CIF format:
```
data_Al2ZnAu
_chemical_formula_sum 'Al6 Zn3 Au3'
_symmetry_space_group_name_H-M 'R 3 m'
_symmetry_Int_Tables_number 160
_symmetry_space_group_name_Hall 'R 3 -2"'
_cell_length_a 3.0360
_cell_length_b 3.0360
_cell_length_c 25.1867
_cell_angle_alpha 90.00
_cell_angle_beta 90.00
_cell_angle_gamma 120.00
loop_
_atom_site_label
_atom_site_fract_x
_atom_site_fract_y
_atom_site_fract_z
Al1 0.0000 0.0000 0.0000
Al2 0.0000 0.0000 0.2456
Zn1 0.0000 0.0000 0.4983
Au1 0.0000 0.0000 0.7469
```

## Properties
Total magnetization = 0.00 μB per atom
Density of states at the Fermi level = 0.6572 states/eV/atom
Energy relative to the elements = -0.10 eV per atom
E = -3.1113 eV/atom

Record 3
AlZn2Au | PBE | relaxed

The structure in CIF format:
```
data_AlZn2Au
_chemical_formula_sum 'Al2 Zn4 Au2'
_symmetry_space_group_name_H-M 'I m m m'
_symmetry_Int_Tables_number 71
_symmetry_space_group_name_Hall '-I 2 2'
_cell_length_a 2.785
_cell_length_b 4.575
_cell_length_c 10.400
_cell_angle_alpha 90.00
_cell_angle_beta 90.00
_cell_angle_gamma 90.00
loop_
_atom_site_label
_atom_site_fract_x
_atom_site_fract_y
_atom_site_fract_z
Al1 0.000 0.000 0.000
Zn1 0.000 0.500 0.247
Au1 0.000 0.000 0.500
```

## Properties
Total magnetization = 0.00 μB per atom
Density of states at the Fermi level = 0.2627 states/eV/atom
Energy relative to the elements = -0.09 eV per atom
E = -2.4798 eV/atom

Record 4
Al2ZnAu | PBE | relaxed

The structure in CIF format:
```
data_Al2ZnAu
_chemical_formula_sum 'Al4 Zn2 Au2'
_symmetry_space_group_name_H-M 'C 1 2/m 1'
_symmetry_Int_Tables_number 12
_symmetry_space_group_name_Hall '-C 2y'
_cell_length_a 5.779
_cell_length_b 5.734
_cell_length_c 4.552
_cell_angle_alpha 90.00
_cell_angle_beta 117.93
_cell_angle_gamma 90.00
loop_
_atom_site_label
_atom_site_fract_x
_atom_site_fract_y
_atom_site_fract_z
Al1 0.000 0.246 0.000
Zn1 0.000 0.000 0.500
Au1 0.000 0.500 0.500
```

## Properties
Total magnetization = 0.00 μB per atom
Density of states at the Fermi level = 0.1311 states/eV/atom
Energy relative to the elements = -0.13 eV per atom
E = -3.1404 eV/atom

Record 5
AlZn2Au8 | PBE | relaxed

The structure in CIF format:
```
data_AlZn2Au8
_chemical_formula_sum 'Al2 Zn4 Au16'
_symmetry_space_group_name_H-M 'C 1 2/m 1'
_symmetry_Int_Tables_number 12
_symmetry_space_group_name_Hall '-C 2y'
_cell_length_a 14.861
_cell_length_b 4.352
_cell_length_c 6.467
_cell_angle_alpha 90.00
_cell_angle_beta 112.98
_cell_angle_gamma 90.00
loop_
_atom_site_label
_atom_site_fract_x
_atom_site_fract_y
_atom_site_fract_z
Al1 0.000 0.000 0.000
Zn1 0.193 0.500 0.678
Au1 0.016 0.500 0.750
Au2 0.117 0.000 0.427
Au3 0.155 0.000 0.903
Au4 0.179 0.500 0.224
```

## Properties
Total magnetization = 0.00 μB per atom
Density of states at the Fermi level = 0.2063 states/eV/atom
Energy relative to the elements = -0.18 eV per atom
E = -3.1328 eV/atom

Record 6
AlZn6Au5 | PBE | relaxed

The structure in CIF format:
```
data_AlZn6Au5
_chemical_formula_sum 'Al1 Zn6 Au5'
_symmetry_space_group_name_H-M 'P 1 2/m 1'
_symmetry_Int_Tables_number 10
_symmetry_space_group_name_Hall '-P 2y'
_cell_length_a 4.874
_cell_length_b 5.834
_cell_length_c 7.004
_cell_angle_alpha 90.00
_cell_angle_beta 102.99
_cell_angle_gamma 90.00
loop_
_atom_site_label
_atom_site_fract_x
_atom_site_fract_y
_atom_site_fract_z
Al1 0.000 0.000 0.000
Zn1 0.264 0.241 0.334
Zn2 0.500 0.258 0.000
Au1 0.000 0.500 0.000
Au2 0.228 0.000 0.687
Au3 0.262 0.500 0.656
```

## Properties
Total magnetization = 0.00 μB per atom
Density of states at the Fermi level = 0.2224 states/eV/atom
Energy relative to the elements = -0.18 eV per atom
E = -2.4965 eV/atom

Record 7
Al2ZnAu | PBE | relaxed

The structure in CIF format:
```
data_Al2ZnAu
_chemical_formula_sum 'Al6 Zn3 Au3'
_symmetry_space_group_name_H-M 'R -3 m'
_symmetry_Int_Tables_number 166
_symmetry_space_group_name_Hall '-R 3 2"'
_cell_length_a 3.0498
_cell_length_b 3.0498
_cell_length_c 24.9828
_cell_angle_alpha 90.00
_cell_angle_beta 90.00
_cell_angle_gamma 120.00
loop_
_atom_site_label
_atom_site_fract_x
_atom_site_fract_y
_atom_site_fract_z
Al1 0.0000 0.0000 0.2505
Zn1 0.0000 0.0000 0.5000
Au1 0.0000 0.0000 0.0000
```

## Properties
Total magnetization = 0.00 μB per atom
Density of states at the Fermi level = 0.2090 states/eV/atom
Energy relative to the elements = -0.16 eV per atom
E = -3.1688 eV/atom

Record 8
Al2ZnAu2 | PBE | relaxed

The structure in CIF format:
```
data_Al2ZnAu2
_chemical_formula_sum 'Al4 Zn2 Au4'
_symmetry_space_group_name_H-M 'P 4/m b m'
_symmetry_Int_Tables_number 127
_symmetry_space_group_name_Hall '-P 4 2ab'
_cell_length_a 7.165
_cell_length_b 7.165
_cell_length_c 3.415
_cell_angle_alpha 90.00
_cell_angle_beta 90.00
_cell_angle_gamma 90.00
loop_
_atom_site_label
_atom_site_fract_x
_atom_site_fract_y
_atom_site_fract_z
Al1 0.148 0.352 0.000
Zn1 0.000 0.000 0.000
Au1 0.151 0.651 0.500
```

## Properties
Total magnetization = 0.00 μB per atom
Energy above the lowest structure with this stoichiometry = 0.221 eV/atom
Density of states at the Fermi level = 0.4424 states/eV/atom
Energy relative to the elements = -0.11 eV per atom
E = -3.1736 eV/atom